# 1
An optimized crystal structure of GdZrPO, computed with PBE.

Summary:
As for the final energy: -7.92 eV/atom. For the total magnetization, the calculation gives 0.0 μB/f.u.

Cell lengths 4.162, 4.162, 8.607 Å; angles 90.00, 90.00, 90.00 degrees
Space group P4/nmm (No. 129, origin choice 2)
Asymmetric unit:
Gd (0.250, 0.250, 0.118)
Zr (0.250, 0.750, 0.500)
P (0.250, 0.250, 0.685)
O (0.250, 0.750, 0.000)


# 2
An optimized crystal structure of PuCuAg, computed with PBE.

Summary:
The calculation puts the formation enthalpy at 0 K at 0.2135 eV/atom. For the total magnetization, the calculation gives 5.9 μB/f.u.

Cell lengths 6.452, 6.452, 6.452 Å; angles 90.00, 90.00, 90.00 degrees
Space group F-43m (No. 216)
Asymmetric unit:
Pu (0.000, 0.000, 0.000)
Cu (0.250, 0.250, 0.750)
Ag (0.000, 0.000, 0.500)


# 3
An optimized crystal structure of KSmPa, computed with PBE.

Summary:
As for the final energy: -3.38 eV/atom. For the total magnetization, the calculation gives 4.2 μB/f.u.

Cell lengths 8.044, 8.044, 8.044 Å; angles 90.00, 90.00, 90.00 degrees
Space group F-43m (No. 216)
Asymmetric unit:
K (0.000, 0.000, 0.000)
Sm (0.250, 0.250, 0.250)
Pa (0.000, 0.000, 0.500)


# 4
An optimized crystal structure of Na3TaS4, computed with PBE.

Summary:
As for the final energy: -5.19 eV/atom. For the total magnetization, the calculation gives 0.0 μB/f.u.

Cell lengths 27.211, 28.433, 7.946 Å; angles 90.00, 90.00, 90.00 degrees
Space group Fdd2 (No. 43)
Asymmetric unit:
Na (0.000, 0.000, 0.000)
Na (0.000, 0.000, 0.484)
Na (0.002, 0.246, 0.015)
Na (0.025, 0.377, 0.730)
Na (0.095, 0.139, 0.387)
Na (0.112, 0.343, 0.166)
Na (0.120, 0.472, 0.224)
Ta (0.010, 0.115, 0.799)
Ta (0.123, 0.006, 0.294)
S (0.000, 0.156, 0.556)
S (0.050, 0.159, 0.996)
S (0.055, 0.049, 0.743)
S (0.056, 0.053, 0.247)
S (0.064, 0.406, 0.411)
S (0.077, 0.288, 0.744)
S (0.084, 0.248, 0.299)
S (0.095, 0.435, 0.894)


# 5
An optimized crystal structure of TlSnHg3S4, computed with PBE.

Summary:
As for the final energy: -2.75 eV/atom.

Cell lengths 7.142, 7.924, 10.069 Å; angles 90.00, 110.64, 90.00 degrees
Space group P2_1/m (No. 11)
Asymmetric unit:
Tl (0.152, 0.250, 0.364)
Sn (0.500, 0.250, 0.794)
Hg (0.045, 0.750, 0.323)
Hg (0.244, 0.527, 0.990)
S (0.093, 0.250, 0.056)
S (0.227, 0.020, 0.724)
S (0.405, 0.750, 0.417)


# 6
An optimized crystal structure of TbPr2Sn3Pt3, computed with PBE.

Summary:
As for the final energy: -5.98 eV/atom. For the total magnetization, the calculation gives 0.0 μB/f.u.

Cell lengths 4.116, 13.207, 7.641 Å; angles 90.00, 90.00, 90.00 degrees
Space group Amm2 (No. 38)
Asymmetric unit:
Tb (0.000, 0.000, 0.000)
Pr (0.000, 0.206, 0.615)
Sn (0.500, 0.000, 0.663)
Sn (0.500, 0.125, 0.281)
Pt (0.000, 0.000, 0.404)
Pt (0.500, 0.162, 0.912)


# 7
An optimized crystal structure of PrThIr, computed with PBE.

Summary:
The calculation puts the formation enthalpy at 0 K at -0.4508 eV/atom. For the total magnetization, the calculation gives 0.0 μB/f.u.

Cell lengths 7.053, 7.053, 7.053 Å; angles 90.00, 90.00, 90.00 degrees
Space group F-43m (No. 216)
Asymmetric unit:
Pr (0.000, 0.000, 0.000)
Th (0.000, 0.000, 0.500)
Ir (0.250, 0.250, 0.750)


# 8
An optimized crystal structure of HoCuSi2Ag, computed with PBE.

Summary:
As for the final energy: -4.84 eV/atom. For the total magnetization, the calculation gives 0.0 μB/f.u.

Cell lengths 4.056, 4.056, 10.385 Å; angles 90.00, 90.00, 90.00 degrees
Space group I-4m2 (No. 119)
Asymmetric unit:
Ho (0.000, 0.000, 0.000)
Cu (0.000, 0.500, 0.750)
Si (0.000, 0.000, 0.389)
Ag (0.000, 0.500, 0.250)


# 9
An optimized crystal structure of AcErBi, computed with PBE.

Summary:
As for the final energy: -4.48 eV/atom. For the total magnetization, the calculation gives 0.1 μB/f.u.

Cell lengths 7.669, 7.669, 7.669 Å; angles 90.00, 90.00, 90.00 degrees
Space group F-43m (No. 216)
Asymmetric unit:
Ac (0.000, 0.000, 0.000)
Er (0.000, 0.000, 0.500)
Bi (0.250, 0.250, 0.250)


# 10
An optimized crystal structure of LiNb4S2, computed with PBE.

Summary:
As for the final energy: -7.04 eV/atom. For the total magnetization, the calculation gives 0.0 μB/f.u.

Cell lengths 6.374, 6.374, 5.723 Å; angles 90.00, 90.00, 90.00 degrees
Space group I4/mmm (No. 139)
Asymmetric unit:
Li (0.000, 0.000, 0.000)
Nb (0.214, 0.214, 0.500)
S (0.000, 0.500, 0.250)


# 11
An optimized crystal structure of Hf31NbO64, computed with PBE.

Summary:
As for the final energy: -10.11 eV/atom. For the total magnetization, the calculation gives 1.0 μB/f.u.

Cell lengths 9.970, 10.081, 10.424 Å; angles 90.03, 90.01, 90.03 degrees
Space group P1 (No. 1)
Asymmetric unit:
Hf (0.000, 0.000, 0.000)
Hf (0.000, 0.000, 0.500)
Hf (0.000, 0.250, 0.286)
Hf (0.000, 0.250, 0.785)
Hf (0.000, 0.750, 0.785)
Hf (0.001, 0.500, 0.499)
Hf (0.001, 0.750, 0.285)
Hf (0.269, 0.000, 0.750)
Hf (0.269, 0.250, 0.536)
Hf (0.269, 0.500, 0.750)
Hf (0.269, 0.750, 0.035)
Hf (0.269, 0.750, 0.535)
Hf (0.270, 0.000, 0.250)
Hf (0.270, 0.250, 0.034)
Hf (0.499, 0.504, 0.499)
Hf (0.500, 0.004, 0.000)
Hf (0.500, 0.004, 0.500)
Hf (0.500, 0.254, 0.785)
Hf (0.500, 0.255, 0.286)
Hf (0.500, 0.754, 0.285)
Hf (0.500, 0.755, 0.785)
Hf (0.501, 0.504, 0.999)
Hf (0.769, 0.004, 0.750)
Hf (0.769, 0.005, 0.250)
Hf (0.769, 0.254, 0.036)
Hf (0.769, 0.255, 0.535)
Hf (0.769, 0.504, 0.250)
Hf (0.769, 0.505, 0.749)
Hf (0.769, 0.754, 0.535)
Hf (0.769, 0.755, 0.035)
Hf (0.999, 0.500, 0.000)
Nb (0.270, 0.498, 0.247)
O (0.094, 0.313, 0.455)
O (0.094, 0.814, 0.955)
O (0.095, 0.064, 0.330)
O (0.095, 0.064, 0.830)
O (0.095, 0.314, 0.956)
O (0.095, 0.564, 0.831)
O (0.095, 0.814, 0.455)
O (0.097, 0.565, 0.331)
O (0.174, 0.815, 0.204)
O (0.175, 0.063, 0.580)
O (0.175, 0.065, 0.080)
O (0.175, 0.313, 0.705)
O (0.175, 0.563, 0.581)
O (0.175, 0.564, 0.080)
O (0.175, 0.813, 0.705)
O (0.177, 0.316, 0.206)
O (0.360, 0.628, 0.386)
O (0.361, 0.128, 0.387)
O (0.361, 0.129, 0.887)
O (0.361, 0.378, 0.399)
O (0.361, 0.379, 0.898)
O (0.361, 0.629, 0.886)
O (0.361, 0.878, 0.398)
O (0.361, 0.879, 0.898)
O (0.407, 0.625, 0.148)
O (0.408, 0.125, 0.148)
O (0.408, 0.126, 0.648)
O (0.408, 0.376, 0.637)
O (0.408, 0.626, 0.648)
O (0.408, 0.875, 0.137)
O (0.408, 0.876, 0.637)
O (0.411, 0.374, 0.136)
O (0.594, 0.191, 0.955)
O (0.594, 0.691, 0.455)
O (0.594, 0.691, 0.955)
O (0.594, 0.940, 0.330)
O (0.594, 0.941, 0.830)
O (0.595, 0.190, 0.455)
O (0.595, 0.440, 0.330)
O (0.595, 0.441, 0.830)
O (0.674, 0.691, 0.205)
O (0.675, 0.191, 0.205)
O (0.675, 0.191, 0.705)
O (0.675, 0.441, 0.580)
O (0.675, 0.691, 0.705)
O (0.675, 0.941, 0.080)
O (0.675, 0.941, 0.580)
O (0.676, 0.441, 0.080)
O (0.861, 0.126, 0.898)
O (0.861, 0.376, 0.887)
O (0.861, 0.626, 0.898)
O (0.861, 0.876, 0.387)
O (0.861, 0.876, 0.887)
O (0.862, 0.126, 0.398)
O (0.862, 0.376, 0.387)
O (0.862, 0.626, 0.398)
O (0.908, 0.129, 0.137)
O (0.908, 0.129, 0.637)
O (0.908, 0.379, 0.648)
O (0.908, 0.628, 0.636)
O (0.908, 0.629, 0.137)
O (0.908, 0.879, 0.148)
O (0.908, 0.879, 0.648)
O (0.909, 0.379, 0.149)


# 12
An optimized crystal structure of Dy3Ho3ReTe2, computed with PBE.

Summary:
As for the final energy: -5.77 eV/atom. For the total magnetization, the calculation gives 0.1 μB/f.u.

Cell lengths 8.2565, 8.2565, 4.1214 Å; angles 90.00, 90.00, 120.00 degrees
Space group P-62m (No. 189)
Asymmetric unit:
Dy (0.0000, 0.6105, 0.0000)
Ho (0.0000, 0.2377, 0.5000)
Re (0.0000, 0.0000, 0.0000)
Te (0.3333, 0.6667, 0.5000)